# 1
Here is InIBr after structural relaxation from Alexandria. Energies are from PBE-GGA.

```
data_InIBr
_chemical_formula_sum 'In4 I4 Br4'
_symmetry_space_group_name_H-M 'C 1 m 1'
_symmetry_Int_Tables_number 8
_symmetry_space_group_name_Hall 'C -2y'
_cell_length_a 15.0425
_cell_length_b 4.3244
_cell_length_c 8.9338
_cell_angle_alpha 90.00
_cell_angle_beta 121.76
_cell_angle_gamma 90.00
loop_
_atom_site_label
_atom_site_fract_x
_atom_site_fract_y
_atom_site_fract_z
In1 0.0000 0.0000 0.0000
In2 0.1067 0.5000 0.6343
I1 0.2699 0.0000 0.7395
I2 0.4481 0.5000 0.5321
Br1 0.0793 0.5000 0.3123
Br2 0.1477 0.5000 0.9657
```

Results
Uncorrected formation energy ... -594 meV/atom



# 2
Here is In4IBr3 after structural relaxation from Alexandria. Energies are from PBE-GGA.

```
data_In4IBr3
_chemical_formula_sum 'In8 I2 Br6'
_symmetry_space_group_name_H-M 'C 1 2/m 1'
_symmetry_Int_Tables_number 12
_symmetry_space_group_name_Hall '-C 2y'
_cell_length_a 13.5447
_cell_length_b 9.5818
_cell_length_c 4.7826
_cell_angle_alpha 90.00
_cell_angle_beta 90.28
_cell_angle_gamma 90.00
loop_
_atom_site_label
_atom_site_fract_x
_atom_site_fract_y
_atom_site_fract_z
In1 0.0000 0.2390 0.0000
In2 0.2446 0.0000 0.5045
I1 0.0000 0.5000 0.5000
Br1 0.0000 0.0000 0.5000
Br2 0.2500 0.2500 0.0000
```

Results
Uncorrected formation energy ... -593 meV/atom
Offset from the most stable computed form ... 0.000 eV/f.u.



# 3
Here is KInIBr2 after structural relaxation from Alexandria. Energies are from PBE-GGA.

```
data_KInIBr2
_chemical_formula_sum 'K1 In1 I1 Br2'
_symmetry_space_group_name_H-M 'P 4/m m m'
_symmetry_Int_Tables_number 123
_symmetry_space_group_name_Hall '-P 4 2'
_cell_length_a 5.7085
_cell_length_b 5.7085
_cell_length_c 6.1241
_cell_angle_alpha 90.00
_cell_angle_beta 90.00
_cell_angle_gamma 90.00
loop_
_atom_site_label
_atom_site_fract_x
_atom_site_fract_y
_atom_site_fract_z
K1 0.0000 0.0000 0.0000
In1 0.5000 0.5000 0.5000
I1 0.5000 0.5000 0.0000
Br1 0.0000 0.5000 0.5000
```

Results
Uncorrected formation energy ... -1006 meV/atom



# 4
Here is KIn2IBr2 after structural relaxation from Alexandria. Energies are from PBE-GGA.

```
data_KIn2IBr2
_chemical_formula_sum 'K2 In4 I2 Br4'
_symmetry_space_group_name_H-M 'P 1 21/m 1'
_symmetry_Int_Tables_number 11
_symmetry_space_group_name_Hall '-P 2yb'
_cell_length_a 8.2479
_cell_length_b 6.8794
_cell_length_c 10.9590
_cell_angle_alpha 90.00
_cell_angle_beta 105.27
_cell_angle_gamma 90.00
loop_
_atom_site_label
_atom_site_fract_x
_atom_site_fract_y
_atom_site_fract_z
K1 0.2093 0.2500 0.0357
In1 0.1445 0.5081 0.6566
I1 0.1296 0.7500 0.2636
Br1 0.1538 0.7500 0.8885
Br2 0.4053 0.2500 0.8137
```

Results
Uncorrected formation energy ... -842 meV/atom